No. 1
A plane-wave DFT calculation with GGA-PBE was carried out for a relaxed structure of Be2Hg2Bi.

It has space group I4/mmm (No. 139), with a = 3.979 Å, b = 3.979 Å, c = 12.301 Å, α = 90.00°, β = 90.00° and γ = 90.00°. The asymmetric unit holds Be at (0.000, 0.500, 0.250), Hg at (0.000, 0.000, 0.130) and Bi at (0.000, 0.000, 0.500).

The calculation puts the volume at 194.7 Å³/cell. The formation energy comes out at 0.4375 eV/atom.

No. 2
A plane-wave DFT calculation with GGA-PBE was carried out for a relaxed structure of Pr4PtCl5.

It has space group C2/m (No. 12), with a = 18.835 Å, b = 4.168 Å, c = 8.608 Å, α = 90.00°, β = 106.92° and γ = 90.00°. The asymmetric unit holds Pr at (0.001, 0.000, 0.271), Pr at (0.158, 0.500, 0.609), Pt at (0.000, 0.500, 0.500), Cl at (0.000, 0.500, 0.000), Cl at (0.168, 0.000, 0.843) and Cl at (0.171, 0.000, 0.377).

The calculation puts the volume at 646.6 Å³/cell. For the uncorrected formation energy, the calculation gives -170.07 kJ per mole of atoms.

No. 3
A plane-wave DFT calculation with GGA-PBE was carried out for a relaxed structure of Sm2Er3Zn2.

It has space group C2/m (No. 12), with a = 11.396 Å, b = 4.710 Å, c = 8.080 Å, α = 90.00°, β = 116.73° and γ = 90.00°. The asymmetric unit holds Sm at (0.136, 0.000, 0.290), Er at (0.000, 0.500, 0.500), Er at (0.134, 0.500, 0.961) and Zn at (0.146, 0.000, 0.691).

The calculation puts the volume at 387.3 Å³/cell. The formation energy comes out at -0.0896 eV/atom. The value obtained for the energy above the most stable polymorph in this dataset is 3.8 kJ per mole of atoms.

No. 4
A plane-wave DFT calculation with GGA-PBE was carried out for a relaxed structure of As2WSeN.

It has space group P4/mmm (No. 123), with a = 4.931 Å, b = 4.931 Å, c = 4.882 Å, α = 90.00°, β = 90.00° and γ = 90.00°. The asymmetric unit holds As at (0.000, 0.500, 0.000), W at (0.000, 0.000, 0.000), Se at (0.000, 0.000, 0.500) and N at (0.500, 0.500, 0.500).

The calculation puts the volume at 118.7 Å³/cell. For the uncorrected formation energy, the calculation gives 131.94 kJ per mole of atoms. The value obtained for the energy above the most stable polymorph in this dataset is 26.0 kJ per mole of atoms.

No. 5
A plane-wave DFT calculation with GGA-PBE was carried out for a relaxed structure of Sm2ErGa3.

It has space group P-3m1 (No. 164), with a = 5.1031 Å, b = 5.1031 Å, c = 12.5566 Å, α = 90.00°, β = 90.00° and γ = 120.00°. The asymmetric unit holds Sm at (0.0000, 0.0000, 0.0000), Sm at (0.0000, 0.0000, 0.5000), Sm at (0.3333, 0.6667, 0.1703), Er at (0.3333, 0.6667, 0.6665), Ga at (0.0000, 0.0000, 0.2529), Ga at (0.3333, 0.6667, 0.4185) and Ga at (0.3333, 0.6667, 0.9149).

The calculation puts the volume at 283.2 Å³/cell. The formation energy comes out at -0.5702 eV/atom. The value obtained for the energy above the most stable polymorph in this dataset is 0.0 kJ per mole of atoms.

No. 6
A plane-wave DFT calculation with GGA-PBE was carried out for a relaxed structure of Zr2Ir2C.

It has space group P4/mbm (No. 127), with a = 7.365 Å, b = 7.365 Å, c = 3.266 Å, α = 90.00°, β = 90.00° and γ = 90.00°. The asymmetric unit holds Zr at (0.171, 0.329, 0.000), Ir at (0.132, 0.632, 0.500) and C at (0.000, 0.000, 0.500).

The calculation puts the volume at 177.2 Å³/cell. The formation energy comes out at 0.4890 eV/atom. The value obtained for the energy above the most stable polymorph in this dataset is 28.9 kJ per mole of atoms.

No. 7
A plane-wave DFT calculation with GGA-PBE was carried out for a relaxed structure of Tb3ScIr8.

It has space group R3m (No. 160, hexagonal axes), with a = 5.3391 Å, b = 5.3391 Å, c = 26.1328 Å, α = 90.00°, β = 90.00° and γ = 120.00°. The asymmetric unit holds Tb at (0.0000, 0.0000, 0.0000), Tb at (0.0000, 0.0000, 0.1259), Tb at (0.0000, 0.0000, 0.6229), Sc at (0.0000, 0.0000, 0.4987), Ir at (0.0000, 0.0000, 0.3122), Ir at (0.0000, 0.0000, 0.8123), Ir at (0.9995, 0.4998, 0.5612) and Ir at (0.0010, 0.5005, 0.0631).

The calculation puts the volume at 645.1 Å³/cell. The formation energy comes out at -0.7839 eV/atom.

No. 8
A plane-wave DFT calculation with GGA-PBE was carried out for a relaxed structure of Fe2Bi2N.

It has space group P4/mbm (No. 127), with a = 5.813 Å, b = 5.813 Å, c = 5.660 Å, α = 90.00°, β = 90.00° and γ = 90.00°. The asymmetric unit holds Fe at (0.245, 0.255, 0.000), Bi at (0.193, 0.693, 0.500) and N at (0.000, 0.000, 0.000).

The calculation puts the volume at 191.2 Å³/cell. For the uncorrected formation energy, the calculation gives 63.27 kJ per mole of atoms. The value obtained for the energy above the most stable polymorph in this dataset is 9.8 kJ per mole of atoms.

No. 9
A plane-wave DFT calculation with GGA-PBE was carried out for a relaxed structure of Zn2Hg2P.

It has space group P4/mbm (No. 127), with a = 6.307 Å, b = 6.307 Å, c = 5.498 Å, α = 90.00°, β = 90.00° and γ = 90.00°. The asymmetric unit holds Zn at (0.146, 0.354, 0.000), Hg at (0.182, 0.682, 0.500) and P at (0.000, 0.000, 0.000).

The calculation puts the volume at 218.7 Å³/cell. The formation energy comes out at 0.1811 eV/atom.

No. 10
A plane-wave DFT calculation with GGA-PBE was carried out for a relaxed structure of Pb2WBr.

It has space group P2/m (No. 10), with a = 3.471 Å, b = 3.507 Å, c = 8.490 Å, α = 90.00°, β = 90.07° and γ = 90.00°. The asymmetric unit holds Pb at (0.001, 0.000, 0.199), W at (0.500, 0.500, 0.000) and Br at (0.000, 0.500, 0.500).

The calculation puts the volume at 103.3 Å³/cell. For the uncorrected formation energy, the calculation gives 61.03 kJ per mole of atoms. The value obtained for the energy above the most stable polymorph in this dataset is 14.8 kJ per mole of atoms.

No. 11
A plane-wave DFT calculation with GGA-PBE was carried out for a relaxed structure of SrAgBr3.

It has space group P2_1/c (No. 14), with a = 7.369 Å, b = 7.980 Å, c = 12.538 Å, α = 90.00°, β = 118.12° and γ = 90.00°. The asymmetric unit holds Sr at (0.168, 0.117, 0.213), Ag at (0.177, 0.603, 0.098), Br at (0.121, 0.178, 0.942), Br at (0.218, 0.659, 0.898) and Br at (0.450, 0.072, 0.777).

The calculation puts the volume at 650.3 Å³/cell. For the uncorrected formation energy, the calculation gives -132.77 kJ per mole of atoms. The value obtained for the energy above the most stable polymorph in this dataset is 1.2 kJ per mole of atoms.

No. 12
A plane-wave DFT calculation with GGA-PBE was carried out for a relaxed structure of Ta2GeI.

It has space group Fm-3m (No. 225), with a = 6.673 Å, b = 6.673 Å, c = 6.673 Å, α = 90.00°, β = 90.00° and γ = 90.00°. The asymmetric unit holds Ta at (0.250, 0.250, 0.250), Ge at (0.000, 0.000, 0.000) and I at (0.000, 0.000, 0.500).

The calculation puts the volume at 297.2 Å³/cell. For the uncorrected formation energy, the calculation gives 49.00 kJ per mole of atoms. The value obtained for the energy above the most stable polymorph in this dataset is 0.0 kJ per mole of atoms.

No. 13
A plane-wave DFT calculation with GGA-PBE was carried out for a relaxed structure of K3BaSr.

It has space group Pm-3m (No. 221), with a = 7.551 Å, b = 7.551 Å, c = 7.551 Å, α = 90.00°, β = 90.00° and γ = 90.00°. The asymmetric unit holds K at (0.000, 0.000, 0.500), Ba at (0.500, 0.500, 0.500) and Sr at (0.000, 0.000, 0.000).

The calculation puts the volume at 430.5 Å³/cell. The formation energy comes out at 0.4659 eV/atom. The value obtained for the energy above the most stable polymorph in this dataset is 0.0 kJ per mole of atoms.

No. 14
A plane-wave DFT calculation with GGA-PBE was carried out for a relaxed structure of RbHg3Se3.

It has space group R-3 (No. 148, hexagonal axes), with a = 8.1384 Å, b = 8.1384 Å, c = 25.2422 Å, α = 90.00°, β = 90.00° and γ = 120.00°. The asymmetric unit holds Rb at (0.0000, 0.0000, 0.1665), Hg at (0.0064, 0.6860, 0.6142) and Se at (0.0050, 0.6588, 0.4033).

The calculation puts the volume at 1447.9 Å³/cell. For the uncorrected formation energy, the calculation gives -34.30 kJ per mole of atoms. The value obtained for the energy above the most stable polymorph in this dataset is 0.5 kJ per mole of atoms.

No. 15
A plane-wave DFT calculation with GGA-PBE was carried out for a relaxed structure of InTcC3.

It has space group Pm-3m (No. 221), with a = 4.086 Å, b = 4.086 Å, c = 4.086 Å, α = 90.00°, β = 90.00° and γ = 90.00°. The asymmetric unit holds In at (0.000, 0.000, 0.000), Tc at (0.500, 0.500, 0.500) and C at (0.000, 0.500, 0.500).

The calculation puts the volume at 68.2 Å³/cell. The formation energy comes out at 1.7678 eV/atom. The value obtained for the energy above the most stable polymorph in this dataset is 0.0 kJ per mole of atoms.

No. 16
A plane-wave DFT calculation with GGA-PBE was carried out for a relaxed structure of CoP4Rh.

It has space group F-43m (No. 216), with a = 6.908 Å, b = 6.908 Å, c = 6.908 Å, α = 90.00°, β = 90.00° and γ = 90.00°. The asymmetric unit holds Co at (0.000, 0.000, 0.000), P at (0.127, 0.127, 0.627) and Rh at (0.250, 0.250, 0.250).

The calculation puts the volume at 329.7 Å³/cell. The formation energy comes out at 0.7115 eV/atom.

No. 17
A plane-wave DFT calculation with GGA-PBE was carried out for a relaxed structure of Cr2PdRu.

It has space group P4/mmm (No. 123), with a = 2.656 Å, b = 2.656 Å, c = 7.500 Å, α = 90.00°, β = 90.00° and γ = 90.00°. The asymmetric unit holds Cr at (0.000, 0.000, 0.239), Pd at (0.500, 0.500, 0.500) and Ru at (0.500, 0.500, 0.000).

The calculation puts the volume at 52.9 Å³/cell. The formation energy comes out at 0.1173 eV/atom.

No. 18
A plane-wave DFT calculation with GGA-PBE was carried out for a relaxed structure of Cs2TcOsSe.

It has space group P4/mmm (No. 123), with a = 7.035 Å, b = 7.035 Å, c = 4.672 Å, α = 90.00°, β = 90.00° and γ = 90.00°. The asymmetric unit holds Cs at (0.000, 0.500, 0.000), Tc at (0.000, 0.000, 0.500), Os at (0.500, 0.500, 0.500) and Se at (0.000, 0.000, 0.000).

The calculation puts the volume at 231.2 Å³/cell. For the uncorrected formation energy, the calculation gives 140.36 kJ per mole of atoms.

No. 19
A plane-wave DFT calculation with GGA-PBE was carried out for a relaxed structure of HoVTcRu.

It has space group F-43m (No. 216), with a = 6.390 Å, b = 6.390 Å, c = 6.390 Å, α = 90.00°, β = 90.00° and γ = 90.00°. The asymmetric unit holds Ho at (0.000, 0.000, 0.000), V at (0.000, 0.000, 0.500), Tc at (0.250, 0.250, 0.250) and Ru at (0.250, 0.250, 0.750).

The calculation puts the volume at 260.9 Å³/cell. The formation energy comes out at -0.0864 eV/atom.

No. 20
A plane-wave DFT calculation with GGA-PBE was carried out for a relaxed structure of InAg2Au4.

It has space group C2/m (No. 12), with a = 5.692 Å, b = 9.872 Å, c = 5.648 Å, α = 90.00°, β = 119.23° and γ = 90.00°. The asymmetric unit holds In at (0.000, 0.000, 0.000), Ag at (0.000, 0.249, 0.500), Au at (0.000, 0.295, 0.000) and Au at (0.206, 0.500, 0.412).

The calculation puts the volume at 277.0 Å³/cell. The formation energy comes out at -0.0258 eV/atom. The value obtained for the energy above the most stable polymorph in this dataset is 0.0 kJ per mole of atoms.

No. 21
A plane-wave DFT calculation with GGA-PBE was carried out for a relaxed structure of Ag2Se.

It has space group P2_12_12_1 (No. 19), with a = 4.539 Å, b = 7.120 Å, c = 7.618 Å, α = 90.00°, β = 90.00° and γ = 90.00°. The asymmetric unit holds Ag at (0.014, 0.229, 0.372), Ag at (0.177, 0.619, 0.548) and Se at (0.120, 0.994, 0.663).

The calculation puts the volume at 246.2 Å³/cell. For the uncorrected formation energy, the calculation gives -5.87 kJ per mole of atoms.

No. 22
A plane-wave DFT calculation with GGA-PBE was carried out for a relaxed structure of MgScSb2.

It has space group P2/m (No. 10), with a = 3.890 Å, b = 3.806 Å, c = 6.471 Å, α = 90.00°, β = 90.07° and γ = 90.00°. The asymmetric unit holds Mg at (0.000, 0.000, 0.000), Sc at (0.000, 0.000, 0.500) and Sb at (0.500, 0.500, 0.262).

The calculation puts the volume at 95.8 Å³/cell. For the uncorrected formation energy, the calculation gives -43.78 kJ per mole of atoms.

No. 23
A plane-wave DFT calculation with GGA-PBE was carried out for a relaxed structure of Hg2RuRh.

It has space group C2/m (No. 12), with a = 9.271 Å, b = 2.949 Å, c = 5.185 Å, α = 90.00°, β = 100.29° and γ = 90.00°. The asymmetric unit holds Hg at (0.250, 0.000, 0.249), Ru at (0.000, 0.000, 0.500) and Rh at (0.000, 0.500, 0.000).

The calculation puts the volume at 139.5 Å³/cell. The formation energy comes out at 0.4580 eV/atom. The value obtained for the energy above the most stable polymorph in this dataset is 19.1 kJ per mole of atoms.

No. 24
A plane-wave DFT calculation with GGA-PBE was carried out for a relaxed structure of Na2Pt2RhSe6.

It has space group C2/m (No. 12), with a = 6.612 Å, b = 11.391 Å, c = 7.218 Å, α = 90.00°, β = 108.42° and γ = 90.00°. The asymmetric unit holds Na at (0.000, 0.168, 0.000), Pt at (0.000, 0.332, 0.500), Rh at (0.000, 0.000, 0.500), Se at (0.228, 0.165, 0.689) and Se at (0.236, 0.500, 0.687).

The calculation puts the volume at 515.8 Å³/cell. For the uncorrected formation energy, the calculation gives -53.65 kJ per mole of atoms.